# 1
# ScInN2O, optimized geometry, DFT GGA-PBE
data_ScInN2O
_cell_length_a 4.268
_cell_length_b 4.268
_cell_length_c 4.015
_cell_angle_alpha 90.00
_cell_angle_beta 90.00
_cell_angle_gamma 90.00
_symmetry_space_group_name_H-M 'P 1'
_symmetry_Int_Tables_number 1
loop_
_symmetry_equiv_pos_as_xyz
'x,y,z'
loop_
_atom_site_label
_atom_site_fract_x
_atom_site_fract_y
_atom_site_fract_z
Sc1 0.000 0.000 0.000
In1 0.500 0.500 0.500
N1 0.000 0.500 0.000
N2 0.500 0.000 0.000
O1 0.000 0.000 0.500
# SG: P4/mmm
# ΔE_f (raw) in eV per atom: 0.02

---

# 2
# InSeN2O, optimized geometry, DFT GGA-PBE
data_InSeN2O
_cell_length_a 4.307
_cell_length_b 4.307
_cell_length_c 4.213
_cell_angle_alpha 90.00
_cell_angle_beta 90.00
_cell_angle_gamma 90.00
_symmetry_space_group_name_H-M 'P 1'
_symmetry_Int_Tables_number 1
loop_
_symmetry_equiv_pos_as_xyz
'x,y,z'
loop_
_atom_site_label
_atom_site_fract_x
_atom_site_fract_y
_atom_site_fract_z
In1 0.000 0.000 0.000
Se1 0.500 0.500 0.500
N1 0.000 0.500 0.000
N2 0.500 0.000 0.000
O1 0.000 0.000 0.500
# SG: P4/mmm
# ΔE_f (raw) in eV per atom: 1.55

---

# 3
# InSe2NO, optimized geometry, DFT GGA-PBE
data_InSe2NO
_cell_length_a 5.646
_cell_length_b 5.646
_cell_length_c 4.084
_cell_angle_alpha 90.00
_cell_angle_beta 90.00
_cell_angle_gamma 90.00
_symmetry_space_group_name_H-M 'P 1'
_symmetry_Int_Tables_number 1
loop_
_symmetry_equiv_pos_as_xyz
'x,y,z'
loop_
_atom_site_label
_atom_site_fract_x
_atom_site_fract_y
_atom_site_fract_z
In1 0.000 0.000 0.000
Se1 0.000 0.500 0.000
Se2 0.500 0.000 0.000
N1 0.000 0.000 0.500
O1 0.500 0.500 0.500
# SG: P4/mmm
# ΔE_f (raw) in eV per atom: 1.47
# Polymorph energy (0 for the lowest one) in meV per atom: 378

---

What did we get for magnetic moment? Answer: 2.45 2.17 6.03 μB per formula unit, in the order shown.